(1)
Density functional theory data (PBE-GGA) for an optimized crystal structure of BaBeP2.

Geometry as POSCAR:
```
BaBeP2
1.0
-2.756 3.170 2.107
-4.508 -0.291 -1.296
-1.880 -2.818 3.834
P Ba Be
2 1 1
direct
0.010 0.010 0.178
0.490 0.490 0.322
0.750 0.750 0.750
0.250 0.250 0.250
```

Calculated values
The energy of formation from the pure elements is -0.365 eV/atom. The value obtained for the size of the total moment is 0.0 μB per cell. The total energy is -4.482 eV per atom. For the offset from the most stable computed form, the calculation gives 0.91 eV per formula unit.


(2)
Density functional theory data (PBE-GGA) for an optimized crystal structure of Ba7Ag2Rh2.

Geometry as POSCAR:
```
Ba7Ag2Rh2
1.0
7.849 -1.069 0.382
-0.797 7.102 3.069
0.296 -0.659 7.693
Ag Rh Ba
2 2 7
direct
0.447 0.130 0.828
0.553 0.870 0.172
0.997 0.704 0.708
0.003 0.296 0.292
0.267 0.611 0.978
0.766 0.511 0.472
0.262 0.039 0.421
0.000 0.000 0.000
0.738 0.961 0.579
0.234 0.489 0.528
0.733 0.389 0.022
```

Calculated values
The energy of formation from the pure elements is -0.172 eV/atom. The value obtained for the size of the total moment is 0.0 μB per cell. The total energy is -3.250 eV per atom. For the offset from the most stable computed form, the calculation gives 0.00 eV per formula unit.


(3)
Density functional theory data (PBE-GGA) for an optimized crystal structure of SnPC.

Geometry as POSCAR:
```
SnPC
1.0
3.723 0.000 0.000
0.000 2.925 0.000
0.000 0.000 9.287
P C Sn
2 2 2
direct
0.000 0.500 0.619
0.000 0.000 0.119
0.000 0.500 0.229
0.000 0.000 0.729
0.500 0.000 0.896
0.500 0.500 0.396
```

Calculated values
The energy of formation from the pure elements is 0.466 eV/atom. The value obtained for the size of the total moment is 0.0 μB per cell. The total energy is -5.746 eV per atom. For the offset from the most stable computed form, the calculation gives 0.05 eV per formula unit.


(4)
Density functional theory data (PBE-GGA) for an optimized crystal structure of PmZn2Si.

Geometry as POSCAR:
```
PmZn2Si
1.0
4.471 0.000 0.000
0.000 4.183 0.000
0.000 0.000 4.183
Zn Pm Si
2 1 1
direct
0.000 0.500 0.000
0.000 0.000 0.500
0.500 0.500 0.500
0.500 0.000 0.000
```

Calculated values
The value obtained for the formation energy from raw total energies is -305 meV per atom. The value obtained for the size of the total moment is 0.0 μB per cell. The total energy is -3.486 eV per atom.


(5)
Density functional theory data (PBE-GGA) for an optimized crystal structure of Ca2Nb2Tl.

Geometry as POSCAR:
```
Ca2Nb2Tl
1.0
-2.248 -0.973 3.515
0.695 -4.168 -0.709
5.317 -2.233 5.393
Nb Tl Ca
2 1 2
direct
0.423 0.423 0.155
0.577 0.577 0.845
0.000 0.000 0.000
0.250 0.750 0.500
0.750 0.250 0.500
```

Calculated values
The energy of formation from the pure elements is 0.851 eV/atom. The value obtained for the size of the total moment is 0.0 μB per cell. The total energy is -4.451 eV per atom. For the offset from the most stable computed form, the calculation gives 1.54 eV per formula unit.


(6)
Density functional theory data (PBE-GGA) for an optimized crystal structure of Zn2Cu2PdAu2.

Geometry as POSCAR:
```
Zn2Cu2PdAu2
1.0
-0.085 1.002 -3.653
-2.175 -4.118 0.887
-5.017 3.857 1.174
Zn Au Cu Pd
2 2 2 1
direct
0.288 0.575 0.859
0.712 0.425 0.141
0.862 0.724 0.580
0.138 0.276 0.420
0.578 0.156 0.728
0.422 0.844 0.272
0.000 0.000 0.000
```

Calculated values
The energy of formation from the pure elements is -0.190 eV/atom. The value obtained for the size of the total moment is 0.0 μB per cell. The total energy is -3.403 eV per atom.